A geometry-optimized NaSn4Pd2Rh structure. Source: the Alexandria database, functional PBE-GGA.

E (eV per atom): -4.73
ΔH_f (0 K) (kcal/mol of atoms): -8.1

Geometry as POSCAR:
```
NaSn4Pd2Rh
1.0
-0.6996 4.0114 -2.0672
-3.0051 2.9691 1.7345
5.9161 6.3817 5.3373
Na Sn Pd Rh
1 4 2 1
direct
0.0000 0.0000 0.0000
0.4003 0.4003 0.7990
0.8691 0.8691 0.3927
0.1309 0.1309 0.6073
0.5997 0.5997 0.2010
0.7717 0.7717 0.6848
0.2283 0.2283 0.3152
0.5000 0.5000 0.5000
```

A geometry-optimized NaSnPdRh structure. Source: the Alexandria database, functional PBE-GGA.

E (eV per atom): -4.77
ΔH_f (0 K) (kcal/mol of atoms): -7.0

Geometry as POSCAR:
```
NaSnPdRh
1.0
-3.6451 0.1633 2.7611
-3.9658 -1.8517 -1.3345
-1.5284 -3.8213 1.9997
Na Rh Sn Pd
1 1 1 1
direct
0.0000 0.0000 0.0000
0.7500 0.7500 0.7500
0.5000 0.5000 0.5000
0.2500 0.2500 0.2500
```

A geometry-optimized Na2Sr6PdRh structure. Source: the Alexandria database, functional PBE-GGA.

E (eV per atom): -2.75
ΔH_f (0 K) (kcal/mol of atoms): -5.2

Geometry as POSCAR:
```
Na2Sr6PdRh
1.0
-4.6281 4.8793 5.1317
-5.7155 -6.1931 0.7334
8.1703 -1.5098 1.7808
Na Sr Pd Rh
2 6 1 1
direct
0.7504 0.2511 0.5010
0.2506 0.7509 0.5010
0.7462 0.7468 0.9999
0.7460 0.7465 0.4917
0.2535 0.2539 0.9996
0.7462 0.2541 0.9997
0.2532 0.2538 0.5069
0.2535 0.7466 0.9998
0.9996 0.0001 0.9992
0.4996 0.5001 0.9992
```

A geometry-optimized NaTaPd2Rh structure. Source: the Alexandria database, functional PBE-GGA.

E (eV per atom): -4.66
ΔH_f (0 K) (kcal/mol of atoms): 35.1

Geometry as POSCAR:
```
NaTaPd2Rh
1.0
4.8183 0.0000 0.0000
0.0000 4.5268 0.0000
0.0000 0.0000 4.8183
Na Rh Pd Ta
1 1 2 1
direct
0.0000 0.5000 0.0000
0.0000 0.0000 0.0000
0.0000 0.0000 0.5000
0.5000 0.0000 0.0000
0.5000 0.5000 0.5000
```